## LaEr2In3Te6 (PBE)

Data for an optimized crystal structure of LaEr2In3Te6. Values from VASP.

Summary:
Energy relative to the elements, uncorrected, eV/atom: -0.988
SG: C2/m (12)
DOS(E_F), states/eV/f.u.: 0.09
M_tot, μB/f.u.: 0.0
Uncorrected energy, eV per cell: -52.980

Quantum ESPRESSO input file:
```
&SYSTEM
  ibrav = 0, nat = 12, ntyp = 4
/
ATOMIC_SPECIES
La 138.91 La.upf
Er 167.26 Er.upf
In 114.82 In.upf
Te 127.60 Te.upf
CELL_PARAMETERS angstrom
7.737 0.002 0.001
-3.865 6.703 0.001
-1.291 -2.235 8.105
ATOMIC_POSITIONS crystal
La 0.000 0.000 0.000
Er 0.333 0.667 0.000
Er 0.667 0.333 0.000
In 0.163 0.837 0.500
In 0.837 0.163 0.500
In 0.500 0.500 0.500
Te 0.926 0.579 0.779
Te 0.725 0.725 0.217
Te 0.074 0.421 0.221
Te 0.579 0.926 0.779
Te 0.275 0.275 0.783
Te 0.421 0.074 0.221
```